Compound: GdErAlGa
Source: Alexandria
Functional: PBE
Structure: optimized geometry

Calculated values
symmetry	F-43m (216)
Fermi-level density of states	1.6	states/eV/f.u.

abc: 5.0777 5.0777 5.0777
angles: 60.00 60.00 60.00
Last column: nearest neighbours and their distance in Å.
Positions (direct):
Gd1 0.0000 0.0000 0.0000  4 Al 3.11, 4 Ga 3.11
Er1 0.5000 0.5000 0.5000  4 Al 3.11, 4 Ga 3.11
Al1 0.7500 0.7500 0.7500  4 Er 3.11, 4 Gd 3.11
Ga1 0.2500 0.2500 0.2500  4 Er 3.11, 4 Gd 3.11

---

Compound: Er2AlGaGe
Source: Alexandria
Functional: PBE
Structure: optimized geometry

Calculated values
symmetry	P2_1/m (11)
Fermi-level density of states	1.6	states/eV/f.u.

abc: 7.1193 4.2728 7.4731
angles: 90.00 90.04 90.00
Last column: nearest neighbours and their distance in Å.
Positions (direct):
Er1 0.0016 0.2500 0.2246  3 Ge 2.91-2.98, 2 Ga 3.06, 3 Al 3.13-3.20
Er2 0.4984 0.2500 0.2257  3 Ge 2.91-2.98, 2 Ga 3.07, 3 Al 3.14-3.21
Er3 0.5016 0.7500 0.7743  3 Ge 2.91-2.98, 2 Ga 3.07, 3 Al 3.14-3.21
Er4 0.9984 0.7500 0.7754  3 Ge 2.91-2.98, 2 Ga 3.06, 3 Al 3.13-3.20
Al1 0.2487 0.2500 0.5828  1 Ge 2.49, 2 Ga 2.54
Al2 0.7513 0.7500 0.4172  1 Ge 2.49, 2 Ga 2.54
Ga1 0.2496 0.7500 0.3997  2 Al 2.54
Ga2 0.7504 0.2500 0.6003  2 Al 2.54
Ge1 0.2504 0.2500 0.9163  1 Al 2.49
Ge2 0.7496 0.7500 0.0837  1 Al 2.49

---

Compound: ErAlGaGe
Source: Alexandria
Functional: PBE
Structure: optimized geometry

Calculated values
symmetry	P4/nmm (129)
Fermi-level density of states	1.4	states/eV/f.u.

abc: 4.0228 4.0228 9.6054
angles: 90.00 90.00 90.00
Last column: nearest neighbours and their distance in Å.
Positions (direct):
Er1 0.2500 0.2500 0.2467  4 Ge 2.86, 4 Ga 3.11, 4 Al 3.16
Er2 0.7500 0.7500 0.7533  4 Ge 2.86, 4 Ga 3.11, 4 Al 3.16
Al1 0.2500 0.7500 0.5000  4 Al 2.84, 4 Ge 2.97, 4 Er 3.16
Al2 0.7500 0.2500 0.5000  4 Al 2.84, 4 Ge 2.97, 4 Er 3.16
Ga1 0.2500 0.7500 0.0000  4 Ga 2.84, 4 Er 3.11
Ga2 0.7500 0.2500 0.0000  4 Ga 2.84, 4 Er 3.11
Ge1 0.2500 0.2500 0.7270  4 Er 2.86, 4 Al 2.97
Ge2 0.7500 0.7500 0.2730  4 Er 2.86, 4 Al 2.97

---

Compound: ErHfAlGa
Source: Alexandria
Functional: PBE
Structure: optimized geometry

Calculated values
symmetry	F-43m (216)
Fermi-level density of states	2.5	states/eV/f.u.

abc: 4.8786 4.8786 4.8786
angles: 60.00 60.00 60.00
Last column: nearest neighbours and their distance in Å.
Positions (direct):
Er1 0.0000 0.0000 0.0000  4 Ga 2.99, 4 Al 2.99
Hf1 0.5000 0.5000 0.5000  4 Ga 2.99, 4 Al 2.99
Al1 0.2500 0.2500 0.2500  4 Hf 2.99, 4 Er 2.99
Ga1 0.7500 0.7500 0.7500  4 Hf 2.99, 4 Er 2.99

---

Compound: HoEr2Al2Ga2
Source: Alexandria
Functional: PBE
Structure: optimized geometry

Calculated values
symmetry	R-3m (166)
Fermi-level density of states	5.8	states/eV/f.u.

abc: 10.2080 10.2080 10.2080
angles: 24.50 24.50 24.50
Last column: nearest neighbours and their distance in Å.
Positions (direct):
Ho1 0.0000 0.0000 0.0000  6 Al 3.08, 6 Ga 3.33
Er1 0.1270 0.1270 0.1270  3 Ga 2.95, 3 Al 3.19
Er2 0.8730 0.8730 0.8730  3 Ga 2.95, 3 Al 3.19
Al1 0.3936 0.3936 0.3936  3 Ga 2.54
Al2 0.6064 0.6064 0.6064  3 Ga 2.54
Ga1 0.2592 0.2592 0.2592  3 Al 2.54
Ga2 0.7408 0.7408 0.7408  3 Al 2.54

---

Compound: ErAlGaIr2
Source: Alexandria
Functional: PBE
Structure: optimized geometry

Calculated values
symmetry	Cmcm (63)
Fermi-level density of states	2.0	states/eV/f.u.

abc: 7.2130 7.2130 6.1894
angles: 90.00 90.00 143.85
Last column: nearest neighbours and their distance in Å.
Positions (direct):
Er1 0.1333 0.8667 0.7500  6 Ir 2.85-2.99, 2 Al 3.17
Er2 0.8667 0.1333 0.2500  6 Ir 2.85-2.99, 2 Al 3.17
Al1 0.1826 0.8174 0.2500  6 Ir 2.57-2.65
Al2 0.8174 0.1826 0.7500  6 Ir 2.57-2.65
Ga1 0.5000 0.5000 0.0000  2 Ir 2.41
Ga2 0.5000 0.5000 0.5000  2 Ir 2.41
Ir1 0.3248 0.6752 0.5207  1 Ga 2.41, 3 Al 2.57-2.65
Ir2 0.3248 0.6752 0.9793  1 Ga 2.41, 3 Al 2.57-2.65
Ir3 0.6752 0.3248 0.0207  1 Ga 2.41, 3 Al 2.57-2.65
Ir4 0.6752 0.3248 0.4793  1 Ga 2.41, 3 Al 2.57-2.65

---

Compound: LaErAlGa
Source: Alexandria
Functional: PBE
Structure: optimized geometry

Calculated values
symmetry	F-43m (216)
Fermi-level density of states	1.0	states/eV/f.u.

abc: 5.1972 5.1972 5.1972
angles: 60.00 60.00 60.00
Last column: nearest neighbours and their distance in Å.
Positions (direct):
La1 0.0000 0.0000 0.0000  4 Al 3.18, 4 Ga 3.18
Er1 0.5000 0.5000 0.5000  4 Al 3.18, 4 Ga 3.18
Al1 0.2500 0.2500 0.2500  4 La 3.18, 4 Er 3.18
Ga1 0.7500 0.7500 0.7500  4 Er 3.18, 4 La 3.18

---

Compound: LiEr2AlGa6
Source: Alexandria
Functional: PBE
Structure: optimized geometry

Calculated values
symmetry	P-1 (2)
Fermi-level density of states	4.3	states/eV/f.u.

abc: 5.3308 6.4557 6.6273
angles: 73.71 69.10 67.77
Last column: nearest neighbours and their distance in Å.
Positions (direct):
Li1 0.0000 0.0000 0.0000  6 Ga 2.51-2.71
Er1 0.4918 0.2447 0.7425  8 Ga 3.02-3.32, 2 Al 3.23-3.38, 2 Li 3.27-3.36
Er2 0.5082 0.7553 0.2575  8 Ga 3.02-3.32, 2 Al 3.23-3.38, 2 Li 3.27-3.36
Al1 0.0000 0.5000 0.5000  6 Ga 2.56-2.81
Ga1 0.0068 0.3215 0.1750  1 Li 2.66, 5 Ga 2.67-2.95, 1 Al 2.70
Ga2 0.1392 0.0660 0.5892  1 Li 2.51, 1 Al 2.56, 3 Ga 2.66-2.78
Ga3 0.4932 0.7183 0.7901  4 Ga 2.67-2.95, 1 Li 2.71, 1 Al 2.81
Ga4 0.5068 0.2817 0.2099  4 Ga 2.67-2.95, 1 Li 2.71, 1 Al 2.81
Ga5 0.8608 0.9340 0.4108  1 Li 2.51, 1 Al 2.56, 3 Ga 2.66-2.78
Ga6 0.9932 0.6785 0.8250  1 Li 2.66, 5 Ga 2.67-2.95, 1 Al 2.70

---

Compound: Li2ErAl2Ga2
Source: Alexandria
Functional: PBE
Structure: optimized geometry

Calculated values
symmetry	C2/m (12)
Fermi-level density of states	1.3	states/eV/f.u.

abc: 4.3255 4.3255 8.0437
angles: 105.38 105.38 59.87
Last column: nearest neighbours and their distance in Å.
Positions (direct):
Li1 0.1428 0.1428 0.4306  3 Al 2.69, 3 Li 2.70-2.72, 4 Ga 2.72-3.01
Li2 0.8572 0.8572 0.5694  3 Al 2.69, 3 Li 2.70-2.72, 4 Ga 2.72-3.01
Er1 0.0000 0.0000 0.0000  6 Ga 2.98, 2 Li 3.30
Al1 0.4323 0.4323 0.3000  3 Ga 2.58, 3 Li 2.69
Al2 0.5677 0.5677 0.7000  3 Ga 2.58, 3 Li 2.69
Ga1 0.2628 0.2628 0.7863  3 Al 2.58, 1 Li 2.72
Ga2 0.7372 0.7372 0.2137  3 Al 2.58, 1 Li 2.72

---

Compound: LiErAlGa
Source: Alexandria
Functional: PBE
Structure: optimized geometry

Calculated values
symmetry	F-43m (216)
Fermi-level density of states	0.9	states/eV/f.u.

abc: 4.8091 4.8091 4.8091
angles: 60.00 60.00 60.00
Last column: nearest neighbours and their distance in Å.
Positions (direct):
Li1 0.0000 0.0000 0.0000  4 Al 2.94, 4 Ga 2.94
Er1 0.5000 0.5000 0.5000  4 Al 2.94, 4 Ga 2.94
Al1 0.7500 0.7500 0.7500  4 Li 2.94, 4 Er 2.94
Ga1 0.2500 0.2500 0.2500  4 Li 2.94, 4 Er 2.94

---

Number 1: density 7555 kg/m3, DFT formation energy -1.9 eV per formula unit, volume 23.14 Å³/atom. Number 2: density 7361 kg/m3, DFT formation energy -2.9 eV per formula unit, volume 22.73 Å³/atom. Number 3: density 7192 kg/m3, DFT formation energy -1.7 eV per formula unit, volume 19.43 Å³/atom. Number 4: density 8948 kg/m3, DFT formation energy -1.2 eV per formula unit, volume 20.53 Å³/atom. Number 5: density 7152 kg/m3, DFT formation energy -2.6 eV per formula unit, volume 22.98 Å³/atom. Number 6: density 11337 kg/m3, DFT formation energy -3.3 eV per formula unit, volume 18.99 Å³/atom. Number 7: density 6739 kg/m3, DFT formation energy -1.9 eV per formula unit, volume 24.82 Å³/atom. Number 8: density 6720 kg/m3, DFT formation energy -3.2 eV per formula unit, volume 19.44 Å³/atom. Number 9: density 5019 kg/m3, DFT formation energy -2.7 eV per formula unit, volume 17.70 Å³/atom. Number 10: density 5720 kg/m3, DFT formation energy -1.3 eV per formula unit, volume 19.66 Å³/atom.